Compound: Mg3Ga2Hg2
Source: Alexandria via LeMat-Bulk
Functional: PBE-GGA
Structure: optimized geometry

a b c (Å): 3.3304 4.6734 18.8045
angles (deg): 90.00 90.00 90.00
Last column: nearest neighbours and their distance in Å.
Space group Immm (No. 71)
Asymmetric unit:
1 Mg 0.0000 0.0000 0.0000  8 Ga 3.13, 4 Hg 3.27, 2 Mg 3.33
2 Mg 0.0000 0.5000 0.1986  5 Hg 2.85-3.01, 2 Ga 2.98
3 Ga 0.0000 0.0000 0.4331  1 Ga 2.52, 2 Hg 2.81
4 Hg 0.0000 0.5000 0.3503  2 Ga 2.81, 5 Mg 2.85-3.01

Summary:
Total moment, Bohr magnetons per cell: 0.00
Raw total energy, eV/atom: -1.7576
Formation enthalpy at 0 K, eV per atom: -0.123

=====

Compound: Mg12GaHg6
Source: Alexandria via LeMat-Bulk
Functional: PBE-GGA
Structure: optimized geometry

a b c (Å): 11.8645 11.8645 12.2783
angles (deg): 90.00 90.00 120.00
Last column: nearest neighbours and their distance in Å.
Space group R-3 (No. 148, hexagonal axes)
Asymmetric unit:
1 Mg 0.0518 0.8157 0.4191  4 Hg 2.82-2.92
2 Mg 0.0524 0.8441 0.8837  1 Ga 2.65, 3 Hg 2.86-2.95
3 Ga 0.0000 0.0000 0.0000  6 Mg 2.65
4 Hg 0.0596 0.7981 0.6555  7 Mg 2.82-2.95

Summary:
Total moment, Bohr magnetons per cell: 0.00
Raw total energy, eV/atom: -1.2916
Formation enthalpy at 0 K, eV per atom: -0.030

=====

Compound: MgGa4Hg
Source: Alexandria via LeMat-Bulk
Functional: PBE-GGA
Structure: optimized geometry

a b c (Å): 9.9023 4.2381 5.9919
angles (deg): 90.00 108.31 90.00
Last column: nearest neighbours and their distance in Å.
Space group C2/m (No. 12)
Asymmetric unit:
1 Mg 0.0000 0.0000 0.0000  2 Hg 3.00, 10 Ga 3.04-3.07
2 Ga 0.1711 0.5000 0.3346  7 Ga 2.98-3.25, 2 Mg 3.04, 3 Hg 3.07-3.09
3 Ga 0.1743 0.5000 0.8391  7 Ga 2.94-3.25, 3 Mg 3.06-3.07, 2 Hg 3.07
4 Hg 0.0000 0.0000 0.5000  2 Mg 3.00, 10 Ga 3.07-3.09

Summary:
Total moment, Bohr magnetons per cell: 0.00
Raw total energy, eV/atom: -2.3577
Formation enthalpy at 0 K, eV per atom: -0.024

=====

Compound: Mg12Ga6Hg
Source: Alexandria via LeMat-Bulk
Functional: PBE-GGA
Structure: optimized geometry

a b c (Å): 12.7148 12.7148 8.8566
angles (deg): 90.00 90.00 120.00
Last column: nearest neighbours and their distance in Å.
Space group R-3 (No. 148, hexagonal axes)
Asymmetric unit:
1 Mg 0.0447 0.8061 0.0738  1 Hg 2.87, 4 Ga 2.92-3.10, 5 Mg 2.98-3.14
2 Mg 0.0605 0.8297 0.4175  4 Ga 2.90-3.12, 6 Mg 2.98-3.14
3 Ga 0.0553 0.8291 0.7450  8 Mg 2.90-3.12, 1 Ga 3.19
4 Hg 0.0000 0.0000 0.0000  6 Mg 2.87

Summary:
Total moment, Bohr magnetons per cell: 0.00
Raw total energy, eV/atom: -2.0067
Formation enthalpy at 0 K, eV per atom: -0.028